# 1
CeNdTl4 | PBE-GGA | optimized geometry

Geometry as POSCAR:
```
CeNdTl4
1.0
3.7381 0.0000 0.0000
0.0000 12.3691 0.0000
-0.0669 0.0000 3.7883
Ce Nd Tl
1 1 4
Direct
0.0000 0.0000 0.0000
0.5000 0.5000 0.5000
0.0000 0.3268 0.0000
0.0000 0.6732 0.0000
0.5000 0.1731 0.5000
0.5000 0.8269 0.5000
```

## Properties
Its raw total energy is -21.04 eV per cell. The calculated formation energy comes out at -0.146 eV per atom. The value obtained for the total magnetization is 1.5 μB per cell. The offset from the most stable computed form is 0.000 eV/atom.

---

# 2
La2Tm5 | PBE-GGA | optimized geometry

Geometry as POSCAR:
```
La2Tm5
1.0
11.2444 0.0000 0.0000
0.0000 5.0381 0.0000
-1.1570 0.0000 7.9317
La Tm
4 10
Direct
0.0729 0.0000 0.2174
0.4271 0.5000 0.7826
0.5729 0.5000 0.2174
0.9271 0.0000 0.7826
0.0000 0.5000 0.5000
0.1442 0.5000 0.9291
0.2129 0.0000 0.6433
0.2871 0.5000 0.3567
0.3558 0.0000 0.0709
0.5000 0.0000 0.5000
0.6442 0.0000 0.9291
0.7129 0.5000 0.6433
0.7871 0.0000 0.3567
0.8558 0.5000 0.0709
```

## Properties
Its raw total energy is -63.84 eV per cell. The calculated formation energy comes out at 0.042 eV per atom. The value obtained for the total magnetization is 0.0 μB per cell.

---

# 3
AlSbP2 | PBE-GGA | optimized geometry

Geometry as POSCAR:
```
AlSbP2
1.0
3.7822 0.0000 0.0000
0.0000 3.7822 0.0000
0.0000 0.0000 10.8303
Al Sb P
2 2 4
Direct
0.0000 0.0000 0.0000
0.5000 0.5000 0.5000
0.0000 0.5000 0.2500
0.5000 0.0000 0.7500
0.0000 0.0000 0.5000
0.0000 0.5000 0.7500
0.5000 0.0000 0.2500
0.5000 0.5000 0.0000
```

## Properties
Its raw total energy is -34.15 eV per cell. The value obtained for the total magnetization is 0.0 μB per cell. The offset from the most stable computed form is 0.473 eV/atom. The calculation puts the formation energy (no corrections) at 0.4027 eV/atom.

---

# 4
Mg2ScCr | PBE-GGA | optimized geometry

Geometry as POSCAR:
```
Mg2ScCr
1.0
4.1050 0.0000 0.0000
0.0000 4.2598 0.0000
0.0000 0.0000 4.7297
Mg Sc Cr
2 1 1
Direct
0.0000 0.0000 0.0000
0.5000 0.5000 0.0000
0.0000 0.5000 0.5000
0.5000 0.0000 0.5000
```

## Properties
Its raw total energy is -18.26 eV per cell. The calculated formation energy comes out at 0.221 eV per atom. The value obtained for the total magnetization is 3.6 μB per cell. The offset from the most stable computed form is 0.047 eV/atom.

---

# 5
CaY2Mg5 | PBE-GGA | optimized geometry

Geometry as POSCAR:
```
CaY2Mg5
1.0
5.3381 0.0000 0.0000
0.0000 5.3381 0.0000
0.0000 0.0000 15.1584
Ca Y Mg
2 4 10
Direct
0.0000 0.0000 0.0000
0.5000 0.5000 0.5000
0.0000 0.0000 0.2583
0.0000 0.0000 0.7417
0.5000 0.5000 0.2417
0.5000 0.5000 0.7583
0.0000 0.0000 0.5000
0.0000 0.5000 0.1217
0.0000 0.5000 0.3783
0.0000 0.5000 0.6217
0.0000 0.5000 0.8783
0.5000 0.0000 0.1217
0.5000 0.0000 0.3783
0.5000 0.0000 0.6217
0.5000 0.0000 0.8783
0.5000 0.5000 0.0000
```

## Properties
Its raw total energy is -46.87 eV per cell. The calculated formation energy comes out at -0.066 eV per atom. The value obtained for the total magnetization is 0.8 μB per cell.

---

# 6
Cs2Tl2PbSe4 | PBE-GGA | optimized geometry

Geometry as POSCAR:
```
Cs2Tl2PbSe4
1.0
8.3479 -2.5784 0.0000
8.3479 2.5784 0.0000
-2.4869 0.0000 7.7851
Cs Tl Pb Se
2 2 1 4
Direct
0.1278 0.1278 0.0618
0.8722 0.8722 0.9382
0.3344 0.3344 0.4730
0.6656 0.6656 0.5270
0.0000 0.0000 0.5000
0.1998 0.1998 0.6700
0.4855 0.4855 0.7362
0.5145 0.5145 0.2638
0.8002 0.8002 0.3300
```

## Properties
Its raw total energy is -29.82 eV per cell. The value obtained for the total magnetization is 0.0 μB per cell. The calculation puts the formation energy (no corrections) at -0.6370 eV/atom.

---

# 7
PaInHg | PBE-GGA | optimized geometry

Geometry as POSCAR:
```
PaInHg
1.0
5.1552 0.0000 0.0000
-2.5776 4.4645 0.0000
0.0000 0.0000 3.1645
Pa In Hg
1 1 1
Direct
0.0000 0.0000 0.0000
0.6667 0.3333 0.5000
0.3333 0.6667 0.5000
```

## Properties
Its raw total energy is -12.51 eV per cell. The calculated formation energy comes out at 0.009 eV per atom. The value obtained for the total magnetization is 1.2 μB per cell. The offset from the most stable computed form is 0.000 eV/atom.

---

# 8
HfTi3 | PBE-GGA | optimized geometry

Geometry as POSCAR:
```
HfTi3
1.0
3.0299 0.0000 0.0000
0.0000 9.4821 0.0000
0.0000 0.0000 5.1913
Hf Ti
2 6
Direct
0.0000 0.0000 0.0000
0.5000 0.5000 0.5000
0.0000 0.2460 0.6554
0.0000 0.5000 0.9908
0.0000 0.7540 0.6554
0.5000 0.0000 0.4908
0.5000 0.2540 0.1554
0.5000 0.7460 0.1554
```

## Properties
Its raw total energy is -66.99 eV per cell. The calculated formation energy comes out at 0.036 eV per atom. The value obtained for the total magnetization is 0.0 μB per cell.